(1)
The following is a DFT calculation (PBE-GGA) of Nd2RhPbO5 after structural relaxation.

abc: 6.8058 6.8058 5.8710
angles: 90.00 90.00 90.00
Space group P4/mbm (No. 127)
One atom of each set of equivalent atoms:
Nd: 0.1737 0.3263 0.0000 [4 per cell]
Rh: 0.0000 0.5000 0.5000 [2 per cell]
Pb: 0.0000 0.0000 0.5000 [2 per cell]
O: 0.0000 0.0000 0.0000 [2 per cell]
O: 0.1395 0.6395 0.2478 [8 per cell]

Properties
formation energy (no corrections): -2.10 eV/atom
DFT total energy: -7.14 eV per atom

---

(2)
The following is a DFT calculation (PBE-GGA) of Sr2LaInB after structural relaxation.

abc: 5.7509 5.7509 5.0296
angles: 90.00 90.00 90.00
Space group P4/mmm (No. 123)
One atom of each set of equivalent atoms:
Sr: 0.0000 0.5000 0.0000 [2 per cell]
La: 0.0000 0.0000 0.5000 [1 per cell]
In: 0.5000 0.5000 0.5000 [1 per cell]
B: 0.0000 0.0000 0.0000 [1 per cell]

Properties
DFT total energy: -3.49 eV per atom
DFT formation energy: 0.06 eV/atom

---

(3)
The following is a DFT calculation (PBE-GGA) of AlSb2W after structural relaxation.

abc: 4.5334 3.6573 9.9143
angles: 90.00 90.00 90.00
Space group Amm2 (No. 38)
One atom of each set of equivalent atoms:
Al: 0.0000 0.0000 0.0000 [2 per cell]
Sb: 0.0000 0.0000 0.2752 [2 per cell]
Sb: 0.5000 0.0000 0.5715 [2 per cell]
W: 0.5000 0.0000 0.8598 [2 per cell]

Properties
formation energy (no corrections): 0.26 eV/atom
DFT total energy: -5.98 eV per atom

---

(4)
The following is a DFT calculation (PBE-GGA) of Ca2AlTe after structural relaxation.

abc: 3.9083 3.9190 7.3799
angles: 90.00 90.00 90.00
Space group Pmmm (No. 47)
One atom of each set of equivalent atoms:
Ca: 0.0000 0.0000 0.2488 [2 per cell]
Al: 0.5000 0.5000 0.0000 [1 per cell]
Te: 0.5000 0.5000 0.5000 [1 per cell]

Properties
formation energy (no corrections): -0.69 eV/atom
E above lowest polymorph: 0 meV/atom
DFT total energy: -3.41 eV per atom

---

(5)
The following is a DFT calculation (PBE-GGA) of MnTe2Ru after structural relaxation.

abc: 3.2384 4.1627 12.5356
angles: 90.00 90.00 90.00
Space group Imm2 (No. 44)
One atom of each set of equivalent atoms:
Mn: 0.0000 0.0000 0.0000 [2 per cell]
Te: 0.0000 0.0000 0.3826 [2 per cell]
Te: 0.0000 0.5000 0.1471 [2 per cell]
Ru: 0.0000 0.5000 0.6971 [2 per cell]

Properties
formation energy (no corrections): 0.21 eV/atom
E above lowest polymorph: 316 meV/atom
DFT total energy: -5.97 eV per atom

---

(6)
The following is a DFT calculation (PBE-GGA) of BaAl3Pd after structural relaxation.

abc: 5.8390 5.8390 5.8390
angles: 90.00 90.00 90.00
Space group Pm-3m (No. 221)
One atom of each set of equivalent atoms:
Ba: 0.0000 0.0000 0.0000 [1 per cell]
Al: 0.0000 0.0000 0.5000 [3 per cell]
Pd: 0.5000 0.5000 0.5000 [1 per cell]

Properties
DFT total energy: -1.95 eV per atom
DFT formation energy: 1.72 eV/atom